Record 1
Entry from Alexandria via LeMat-Bulk: a geometry-optimized TiSnAs structure (PBE-GGA).

Computed properties:
Uncorrected energy ... -35.71 eV/cell
DOS at the Fermi energy ... 2.01 states/eV/f.u.
E_form ... -0.4362 eV/atom

CIF file:
```
data_TiSnAs
_chemical_formula_sum 'Ti2 Sn2 As2'
_cell_length_a 3.419
_cell_length_b 3.493
_cell_length_c 10.437
_cell_angle_alpha 90.00
_cell_angle_beta 90.01
_cell_angle_gamma 90.00
_symmetry_space_group_name_H-M 'P 1 m 1'
_symmetry_Int_Tables_number 6
_symmetry_space_group_name_Hall 'P -2y'
loop_
_atom_site_label
_atom_site_type_symbol
_atom_site_fract_x
_atom_site_fract_y
_atom_site_fract_z
Ti1 Ti 0.000 0.000 0.000
Ti2 Ti 0.499 0.000 0.278
Sn1 Sn 0.006 0.000 0.571
Sn2 Sn 0.502 0.500 0.811
As1 As 0.000 0.500 0.359
As2 As 0.500 0.500 0.092
```


Record 2
Entry from Alexandria via LeMat-Bulk: a geometry-optimized Ti7Sn2As2 structure (PBE-GGA).

Computed properties:
Uncorrected energy ... -150.72 eV/cell
DOS at the Fermi energy ... 11.14 states/eV/f.u.
E_form ... -0.2537 eV/atom

CIF file:
```
data_Ti7Sn2As2
_chemical_formula_sum 'Ti14 Sn4 As4'
_cell_length_a 7.909
_cell_length_b 9.471
_cell_length_c 5.786
_cell_angle_alpha 90.00
_cell_angle_beta 90.00
_cell_angle_gamma 90.00
_symmetry_space_group_name_H-M 'C m m m'
_symmetry_Int_Tables_number 65
_symmetry_space_group_name_Hall '-C 2 2'
loop_
_atom_site_label
_atom_site_type_symbol
_atom_site_fract_x
_atom_site_fract_y
_atom_site_fract_z
Ti1 Ti 0.000 0.000 0.000
Ti2 Ti 0.000 0.500 0.256
Ti3 Ti 0.250 0.250 0.259
Sn1 Sn 0.183 0.000 0.500
As1 As 0.000 0.275 0.000
```


Record 3
Entry from Alexandria via LeMat-Bulk: a geometry-optimized Ti2Sn2As structure (PBE-GGA).

Computed properties:
Uncorrected energy ... -56.18 eV/cell
DOS at the Fermi energy ... 4.89 states/eV/f.u.
E_form ... 0.0714 eV/atom

CIF file:
```
data_Ti2Sn2As
_chemical_formula_sum 'Ti4 Sn4 As2'
_cell_length_a 7.526
_cell_length_b 7.526
_cell_length_c 3.738
_cell_angle_alpha 90.00
_cell_angle_beta 90.00
_cell_angle_gamma 90.00
_symmetry_space_group_name_H-M 'P 4/m b m'
_symmetry_Int_Tables_number 127
_symmetry_space_group_name_Hall '-P 4 2ab'
loop_
_atom_site_label
_atom_site_type_symbol
_atom_site_fract_x
_atom_site_fract_y
_atom_site_fract_z
Ti1 Ti 0.140 0.360 0.000
Sn1 Sn 0.153 0.653 0.500
As1 As 0.000 0.000 0.500
```